(1)
An optimized crystal structure of NdDyAlCd, computed with PBE.

## Properties
excess energy over the best structure of this formula in the dataset = 15 meV per atom
electronic total energy = -3.85 eV/atom

Geometry as CIF:
```
data_NdDyAlCd
_chemical_formula_sum 'Nd1 Dy1 Al1 Cd1'
_cell_length_a 5.290
_cell_length_b 5.290
_cell_length_c 5.290
_cell_angle_alpha 60.00
_cell_angle_beta 60.00
_cell_angle_gamma 60.00
_symmetry_space_group_name_H-M 'P 1'
_symmetry_Int_Tables_number 1
loop_
_symmetry_equiv_pos_as_xyz
'x,y,z'
loop_
_atom_site_label
_atom_site_fract_x
_atom_site_fract_y
_atom_site_fract_z
_atom_site_occupancy
Cd1 0.750 0.750 0.750 1
Nd1 0.000 0.000 0.000 1
Al1 0.250 0.250 0.250 1
Dy1 0.500 0.500 0.500 1
```

(2)
An optimized crystal structure of NdDyAlCd, computed with PBE.

## Properties
excess energy over the best structure of this formula in the dataset = 0 meV per atom
electronic total energy = -3.86 eV/atom

Geometry as CIF:
```
data_NdDyAlCd
_chemical_formula_sum 'Nd1 Dy1 Al1 Cd1'
_cell_length_a 3.662
_cell_length_b 3.662
_cell_length_c 7.755
_cell_angle_alpha 90.00
_cell_angle_beta 90.00
_cell_angle_gamma 90.00
_symmetry_space_group_name_H-M 'P 1'
_symmetry_Int_Tables_number 1
loop_
_symmetry_equiv_pos_as_xyz
'x,y,z'
loop_
_atom_site_label
_atom_site_fract_x
_atom_site_fract_y
_atom_site_fract_z
_atom_site_occupancy
Nd1 0.500 0.500 0.121 1
Dy1 0.500 0.500 0.596 1
Al1 0.000 0.000 0.369 1
Cd1 0.000 0.000 0.842 1
```

(3)
An optimized crystal structure of DyAlCdPd, computed with PBE.

## Properties
electronic total energy = -4.14 eV/atom

Geometry as CIF:
```
data_DyAlCdPd
_chemical_formula_sum 'Dy1 Al1 Cd1 Pd1'
_cell_length_a 4.818
_cell_length_b 4.818
_cell_length_c 4.818
_cell_angle_alpha 60.00
_cell_angle_beta 60.00
_cell_angle_gamma 60.00
_symmetry_space_group_name_H-M 'P 1'
_symmetry_Int_Tables_number 1
loop_
_symmetry_equiv_pos_as_xyz
'x,y,z'
loop_
_atom_site_label
_atom_site_fract_x
_atom_site_fract_y
_atom_site_fract_z
_atom_site_occupancy
Cd1 0.750 0.750 0.750 1
Al1 0.000 0.000 0.000 1
Pd1 0.250 0.250 0.250 1
Dy1 0.500 0.500 0.500 1
```

(4)
An optimized crystal structure of Dy2Al4CdPd3, computed with PBE.

## Properties
electronic total energy = -4.77 eV/atom

Geometry as CIF:
```
data_Dy2Al4CdPd3
_chemical_formula_sum 'Dy2 Al4 Cd1 Pd3'
_cell_length_a 4.206
_cell_length_b 4.206
_cell_length_c 10.926
_cell_angle_alpha 90.00
_cell_angle_beta 90.00
_cell_angle_gamma 90.00
_symmetry_space_group_name_H-M 'P 1'
_symmetry_Int_Tables_number 1
loop_
_symmetry_equiv_pos_as_xyz
'x,y,z'
loop_
_atom_site_label
_atom_site_fract_x
_atom_site_fract_y
_atom_site_fract_z
_atom_site_occupancy
Dy1 0.500 0.000 0.237 1
Dy2 0.000 0.500 0.763 1
Al1 0.500 0.500 0.000 1
Al2 0.000 0.000 0.000 1
Al3 0.500 0.000 0.646 1
Al4 0.000 0.500 0.354 1
Cd1 0.500 0.500 0.500 1
Pd1 0.000 0.000 0.500 1
Pd2 0.500 0.000 0.870 1
Pd3 0.000 0.500 0.130 1
```

Mass density values, unit g/cm3, following the record order: 7.1; 7.1; 8.6; 7.4.